No. 1
A plane-wave DFT calculation with GGA-PBE was carried out for a relaxed structure of SrTl2PdBr.

Cell: 5.2717 5.2717 6.0857 Å, 90.00 90.00 90.00°
Sites, in units of the cell vectors:
Sr 0.0000 0.0000 0.5000
Tl 0.0000 0.5000 0.0000
Tl 0.5000 0.0000 0.0000
Br 0.5000 0.5000 0.5000
Pd 0.0000 0.0000 0.0000

Calculated values
M_tot in μB per atom: 0.000
Symmetry: P4/mmm
Electronic total energy in eV per formula unit: -16.28

No. 2
A plane-wave DFT calculation with GGA-PBE was carried out for a relaxed structure of TaPd2Br.

Cell: 4.6625 4.6625 4.6625 Å, 60.00 60.00 60.00°
Sites, in units of the cell vectors:
Br 0.0000 0.0000 0.0000
Pd 0.2500 0.2500 0.2500
Pd 0.7500 0.7500 0.7500
Ta 0.5000 0.5000 0.5000

Calculated values
M_tot in μB per atom: 0.000
Symmetry: Fm-3m
Electronic total energy in eV per formula unit: -22.05

No. 3
A plane-wave DFT calculation with GGA-PBE was carried out for a relaxed structure of TaPdBr3.

Cell: 5.1142 5.1142 5.1142 Å, 90.00 90.00 90.00°
Sites, in units of the cell vectors:
Br 0.0000 0.5000 0.0000
Br 0.0000 0.0000 0.5000
Br 0.5000 0.0000 0.0000
Pd 0.5000 0.5000 0.5000
Ta 0.0000 0.0000 0.0000

Calculated values
M_tot in μB per atom: 0.000
Symmetry: Pm-3m
Electronic total energy in eV per formula unit: -20.66